No. 1
DFT (GGA-PBE) results for a relaxed structure of Hg2MoP.

```
data_Hg2MoP
_chemical_formula_sum 'Hg4 Mo2 P2'
_symmetry_space_group_name_H-M 'I m m 2'
_symmetry_Int_Tables_number 44
_cell_length_a 3.132
_cell_length_b 4.884
_cell_length_c 10.692
_cell_angle_alpha 90.00
_cell_angle_beta 90.00
_cell_angle_gamma 90.00
loop_
_symmetry_equiv_pos_as_xyz
'x,y,z'
'-x,-y,z'
'-x,y,z'
'x,-y,z'
'x+1/2,y+1/2,z+1/2'
'-x+1/2,-y+1/2,z+1/2'
'-x+1/2,y+1/2,z+1/2'
'x+1/2,-y+1/2,z+1/2'
loop_
_atom_site_label
_atom_site_fract_x
_atom_site_fract_y
_atom_site_fract_z
Hg1 0.000 0.000 0.000
Hg2 0.000 0.500 0.201
Mo1 0.000 0.500 0.744
P1 0.000 0.000 0.404
```

The value obtained for the calculated formation energy is 0.344 eV per atom. The excess energy over the best structure of this formula in the dataset is 0.252 eV/atom. As for the total energy: -3.867 eV/atom. For the density, the calculation gives 10.724 Mg/m³.

---

No. 2
DFT (GGA-PBE) results for a relaxed structure of HgMoP.

```
data_HgMoP
_chemical_formula_sum 'Hg4 Mo4 P4'
_symmetry_space_group_name_H-M 'F -4 3 m'
_symmetry_Int_Tables_number 216
_symmetry_space_group_name_Hall 'F -4 2 3'
_cell_length_a 5.997
_cell_length_b 5.997
_cell_length_c 5.997
_cell_angle_alpha 90.00
_cell_angle_beta 90.00
_cell_angle_gamma 90.00
loop_
_atom_site_label
_atom_site_fract_x
_atom_site_fract_y
_atom_site_fract_z
Hg1 0.000 0.000 0.000
Mo1 0.000 0.000 0.500
P1 0.250 0.250 0.750
```

The value obtained for the calculated formation energy is 0.567 eV per atom. The excess energy over the best structure of this formula in the dataset is 0.456 eV/atom. As for the total energy: -4.947 eV/atom. For the density, the calculation gives 10.088 Mg/m³.

---

No. 3
DFT (GGA-PBE) results for a relaxed structure of HgMo2P.

```
data_HgMo2P
_chemical_formula_sum 'Hg2 Mo4 P2'
_symmetry_space_group_name_H-M 'I -4 m 2'
_symmetry_Int_Tables_number 119
_symmetry_space_group_name_Hall 'I -4 -2'
_cell_length_a 3.928
_cell_length_b 3.928
_cell_length_c 8.449
_cell_angle_alpha 90.00
_cell_angle_beta 90.00
_cell_angle_gamma 90.00
loop_
_atom_site_label
_atom_site_fract_x
_atom_site_fract_y
_atom_site_fract_z
Hg1 0.000 0.000 0.000
Mo1 0.000 0.000 0.500
Mo2 0.000 0.500 0.750
P1 0.000 0.500 0.250
```

The value obtained for the calculated formation energy is 0.597 eV per atom. The excess energy over the best structure of this formula in the dataset is 0.561 eV/atom. As for the total energy: -6.246 eV/atom. For the density, the calculation gives 10.785 Mg/m³.

---

No. 4
DFT (GGA-PBE) results for a relaxed structure of HgMoP2.

```
data_HgMoP2
_chemical_formula_sum 'Hg2 Mo2 P4'
_symmetry_space_group_name_H-M 'C 1 2/m 1'
_symmetry_Int_Tables_number 12
_cell_length_a 8.329
_cell_length_b 3.164
_cell_length_c 5.421
_cell_angle_alpha 90.00
_cell_angle_beta 96.81
_cell_angle_gamma 90.00
loop_
_symmetry_equiv_pos_as_xyz
'x,y,z'
'-x,-y,-z'
'-x,y,-z'
'x,-y,z'
'x+1/2,y+1/2,z'
'-x+1/2,-y+1/2,-z'
'-x+1/2,y+1/2,-z'
'x+1/2,-y+1/2,z'
loop_
_atom_site_label
_atom_site_fract_x
_atom_site_fract_y
_atom_site_fract_z
Hg1 0.000 0.000 0.000
Mo1 0.000 0.500 0.500
P1 0.221 0.000 0.661
```

The value obtained for the calculated formation energy is 0.159 eV per atom. The excess energy over the best structure of this formula in the dataset is 0.214 eV/atom. As for the total energy: -5.329 eV/atom. For the density, the calculation gives 8.392 Mg/m³.

---

No. 5
DFT (GGA-PBE) results for a relaxed structure of Hg2MoP.

```
data_Hg2MoP
_chemical_formula_sum 'Hg2 Mo1 P1'
_symmetry_space_group_name_H-M 'P 4 m m'
_symmetry_Int_Tables_number 99
_cell_length_a 3.190
_cell_length_b 3.190
_cell_length_c 7.538
_cell_angle_alpha 90.00
_cell_angle_beta 90.00
_cell_angle_gamma 90.00
loop_
_symmetry_equiv_pos_as_xyz
'x,y,z'
'-y,x,z'
'-x,-y,z'
'y,-x,z'
'-x,y,z'
'y,x,z'
'x,-y,z'
'-y,-x,z'
loop_
_atom_site_label
_atom_site_fract_x
_atom_site_fract_y
_atom_site_fract_z
Hg1 0.000 0.000 0.000
Hg2 0.500 0.500 0.308
Mo1 0.000 0.000 0.585
P1 0.500 0.500 0.713
```

The value obtained for the calculated formation energy is 0.115 eV per atom. The excess energy over the best structure of this formula in the dataset is 0.024 eV/atom. As for the total energy: -4.096 eV/atom. For the density, the calculation gives 11.430 Mg/m³.

---

No. 6
DFT (GGA-PBE) results for a relaxed structure of HgMo2P.

```
data_HgMo2P
_chemical_formula_sum 'Hg2 Mo4 P2'
_symmetry_space_group_name_H-M 'A m m 2'
_symmetry_Int_Tables_number 38
_cell_length_a 4.473
_cell_length_b 3.034
_cell_length_c 10.302
_cell_angle_alpha 90.00
_cell_angle_beta 90.00
_cell_angle_gamma 90.00
loop_
_symmetry_equiv_pos_as_xyz
'x,y,z'
'-x,-y,z'
'-x,y,z'
'x,-y,z'
'x,y+1/2,z+1/2'
'-x,-y+1/2,z+1/2'
'-x,y+1/2,z+1/2'
'x,-y+1/2,z+1/2'
loop_
_atom_site_label
_atom_site_fract_x
_atom_site_fract_y
_atom_site_fract_z
Hg1 0.000 0.000 0.000
Mo1 0.000 0.000 0.264
Mo2 0.500 0.000 0.649
P1 0.500 0.000 0.334
```

The value obtained for the calculated formation energy is 0.238 eV per atom. The excess energy over the best structure of this formula in the dataset is 0.202 eV/atom. As for the total energy: -6.605 eV/atom. For the density, the calculation gives 10.060 Mg/m³.

---

No. 7
DFT (GGA-PBE) results for a relaxed structure of HgMoP2.

```
data_HgMoP2
_chemical_formula_sum 'Hg2 Mo2 P4'
_symmetry_space_group_name_H-M 'C m m m'
_symmetry_Int_Tables_number 65
_symmetry_space_group_name_Hall '-C 2 2'
_cell_length_a 6.150
_cell_length_b 8.462
_cell_length_c 2.691
_cell_angle_alpha 90.00
_cell_angle_beta 90.00
_cell_angle_gamma 90.00
loop_
_atom_site_label
_atom_site_fract_x
_atom_site_fract_y
_atom_site_fract_z
Hg1 0.000 0.000 0.000
Mo1 0.000 0.500 0.000
P1 0.250 0.250 0.000
```

The value obtained for the calculated formation energy is 0.570 eV per atom. The excess energy over the best structure of this formula in the dataset is 0.625 eV/atom. As for the total energy: -4.919 eV/atom. For the density, the calculation gives 8.502 Mg/m³.

---

No. 8
DFT (GGA-PBE) results for a relaxed structure of HgMoP2.

```
data_HgMoP2
_chemical_formula_sum 'Hg3 Mo3 P6'
_symmetry_space_group_name_H-M 'R -3 m'
_symmetry_Int_Tables_number 166
_symmetry_space_group_name_Hall '-R 3 2"'
_cell_length_a 3.2272
_cell_length_b 3.2272
_cell_length_c 24.5643
_cell_angle_alpha 90.00
_cell_angle_beta 90.00
_cell_angle_gamma 120.00
loop_
_atom_site_label
_atom_site_fract_x
_atom_site_fract_y
_atom_site_fract_z
Hg1 0.0000 0.0000 0.0000
Mo1 0.0000 0.0000 0.5000
P1 0.0000 0.0000 0.2316
```

The value obtained for the calculated formation energy is -0.047 eV per atom. The excess energy over the best structure of this formula in the dataset is 0.008 eV/atom. As for the total energy: -5.535 eV/atom. For the density, the calculation gives 8.060 Mg/m³.